Record 1
Computed, not measured: a relaxed AlCrCl2 crystal at the PBE level of DFT.

Unit cell a=3.0827 b=3.0827 c=8.4171 alpha=90.00 beta=90.00 gamma=90.00
Last column: nearest neighbours and their distance in Å.
Atoms (fractional coordinates):
1 Al 0.0000 0.0000 0.0000  4 Cl 2.72, 4 Cr 2.73
2 Cr 0.5000 0.5000 0.8053  4 Cl 2.61, 4 Al 2.73
3 Cl 0.0000 0.0000 0.6347  4 Cr 2.61
4 Cl 0.5000 0.5000 0.1933  4 Al 2.72

Calculated values
The value obtained for the energy above the most stable polymorph in this dataset is 0.224 eV per atom. As for the symmetry: P4mm, No. 99. For the density of states at the Fermi level, the calculation gives 3.024 states/eV/f.u. Its uncorrected energy is -18.38 eV/f.u. The calculation puts the formation energy (no corrections) at -0.331 eV per atom.

Record 2
Computed, not measured: a relaxed Ni3SbTe crystal at the PBE level of DFT.

Unit cell a=4.2905 b=5.3190 c=7.2193 alpha=90.00 beta=99.01 gamma=90.00
Last column: nearest neighbours and their distance in Å.
Atoms (fractional coordinates):
1 Ni 0.1794 0.0025 0.2729  2 Te 2.60-2.68, 5 Ni 2.63-2.73, 3 Sb 2.64-2.71
2 Ni 0.1794 0.4975 0.2729  2 Te 2.60-2.68, 5 Ni 2.63-2.73, 3 Sb 2.64-2.71
3 Ni 0.2852 0.2500 0.6082  1 Te 2.56, 4 Sb 2.58-2.66, 6 Ni 2.66-2.73
4 Ni 0.7148 0.7500 0.3918  1 Te 2.56, 4 Sb 2.58-2.66, 6 Ni 2.66-2.73
5 Ni 0.8206 0.5025 0.7271  2 Te 2.60-2.68, 5 Ni 2.63-2.73, 3 Sb 2.64-2.71
6 Ni 0.8206 0.9975 0.7271  2 Te 2.60-2.68, 5 Ni 2.63-2.73, 3 Sb 2.64-2.71
7 Sb 0.2779 0.7500 0.6008  10 Ni 2.58-2.71
8 Sb 0.7221 0.2500 0.3992  10 Ni 2.58-2.71
9 Te 0.2333 0.2500 0.9564  5 Ni 2.56-2.68
10 Te 0.7667 0.7500 0.0436  5 Ni 2.56-2.68

Calculated values
The value obtained for the energy above the most stable polymorph in this dataset is 0.000 eV per atom. As for the symmetry: P2_1/m, No. 11. For the density of states at the Fermi level, the calculation gives 3.609 states/eV/f.u. Its uncorrected energy is -25.15 eV/f.u. The calculation puts the formation energy (no corrections) at -0.108 eV per atom.

Record 3
Computed, not measured: a relaxed LiCrAg crystal at the PBE level of DFT.

Unit cell a=7.4173 b=2.8517 c=8.4619 alpha=90.00 beta=90.00 gamma=90.00
Last column: nearest neighbours and their distance in Å.
Atoms (fractional coordinates):
1 Li 0.1371 0.2500 0.2212  5 Ag 2.66-2.73, 5 Cr 2.83-2.91, 2 Li 2.85
2 Li 0.3629 0.7500 0.7212  5 Ag 2.66-2.73, 5 Cr 2.83-2.91, 2 Li 2.85
3 Li 0.6371 0.2500 0.2788  5 Ag 2.66-2.73, 5 Cr 2.83-2.91, 2 Li 2.85
4 Li 0.8629 0.7500 0.7788  5 Ag 2.66-2.73, 5 Cr 2.83-2.91, 2 Li 2.85
5 Cr 0.0757 0.2500 0.5574  2 Cr 2.06
6 Cr 0.4243 0.7500 0.0574  2 Cr 2.06
7 Cr 0.5757 0.2500 0.9426  2 Cr 2.06
8 Cr 0.9243 0.7500 0.4426  2 Cr 2.06
9 Ag 0.1430 0.2500 0.9035  5 Li 2.66-2.73, 3 Cr 2.84-2.97, 2 Ag 2.85
10 Ag 0.3570 0.7500 0.4035  5 Li 2.66-2.73, 3 Cr 2.84-2.97, 2 Ag 2.85
11 Ag 0.6430 0.2500 0.5965  5 Li 2.66-2.73, 3 Cr 2.84-2.97, 2 Ag 2.85
12 Ag 0.8570 0.7500 0.0965  5 Li 2.66-2.73, 3 Cr 2.84-2.97, 2 Ag 2.85

Calculated values
The value obtained for the energy above the most stable polymorph in this dataset is 0.039 eV per atom. As for the symmetry: Pnma, No. 62. For the density of states at the Fermi level, the calculation gives 1.724 states/eV/f.u. Its uncorrected energy is -13.56 eV/f.u. As for the formation enthalpy at 0 K: 0.8 eV per formula unit.

Record 4
Computed, not measured: a relaxed LaPm2TlO crystal at the PBE level of DFT.

Unit cell a=4.9771 b=4.9771 c=5.0383 alpha=90.00 beta=90.00 gamma=90.00
Last column: nearest neighbours and their distance in Å.
Atoms (fractional coordinates):
1 La 0.0000 0.0000 0.0000  2 O 2.52
2 Pm 0.0000 0.5000 0.5000  2 O 2.49
3 Pm 0.5000 0.0000 0.5000  2 O 2.49
4 Tl 0.5000 0.5000 0.0000  4 La 3.52, 8 Pm 3.54
5 O 0.0000 0.0000 0.5000  4 Pm 2.49, 2 La 2.52

Calculated values
As for the symmetry: P4/mmm, No. 123. For the density of states at the Fermi level, the calculation gives 2.234 states/eV/f.u. Its uncorrected energy is -28.57 eV/f.u. The calculation puts the formation energy (no corrections) at -1.363 eV per atom.

Record 5
Computed, not measured: a relaxed TbSm2DyY6 crystal at the PBE level of DFT.

Unit cell a=8.7888 b=8.7888 c=9.7409 alpha=94.84 beta=94.84 gamma=117.75
Last column: nearest neighbours and their distance in Å.
Atoms (fractional coordinates):
1 Tb 0.0199 0.9801 0.7500  4 Sm 3.36-3.39, 4 Y 3.57-3.64
2 Tb 0.9801 0.0199 0.2500  4 Sm 3.36-3.39, 4 Y 3.57-3.64
3 Sm 0.1940 0.2948 0.5444  5 Y 3.27-3.50, 2 Tb 3.36-3.39, 1 Dy 3.54
4 Sm 0.2948 0.1940 0.0444  5 Y 3.27-3.50, 2 Tb 3.36-3.39, 1 Dy 3.54
5 Sm 0.7052 0.8060 0.9556  5 Y 3.27-3.50, 2 Tb 3.36-3.39, 1 Dy 3.54
6 Sm 0.8060 0.7052 0.4556  5 Y 3.27-3.50, 2 Tb 3.36-3.39, 1 Dy 3.54
7 Dy 0.4071 0.5929 0.2500  8 Y 3.42-3.80, 2 Sm 3.54
8 Dy 0.5929 0.4071 0.7500  8 Y 3.42-3.80, 2 Sm 3.54
9 Y 0.0191 0.5740 0.6853  2 Y 3.27-3.58, 1 Sm 3.40, 1 Dy 3.47, 1 Tb 3.57
10 Y 0.1228 0.7476 0.0566  7 Y 3.42-3.78, 1 Sm 3.50, 1 Tb 3.64, 1 Dy 3.80
11 Y 0.2524 0.8772 0.4434  7 Y 3.42-3.78, 1 Sm 3.50, 1 Tb 3.64, 1 Dy 3.80
12 Y 0.2938 0.5035 0.8814  3 Sm 3.27-3.45, 4 Y 3.27-3.55, 2 Dy 3.42-3.56
13 Y 0.4260 0.9809 0.8147  2 Y 3.27-3.58, 1 Sm 3.40, 1 Dy 3.47, 1 Tb 3.57
14 Y 0.4965 0.7062 0.6186  3 Sm 3.27-3.45, 4 Y 3.27-3.55, 2 Dy 3.42-3.56
15 Y 0.5035 0.2938 0.3814  3 Sm 3.27-3.45, 4 Y 3.27-3.55, 2 Dy 3.42-3.56
16 Y 0.5740 0.0191 0.1853  2 Y 3.27-3.58, 1 Sm 3.40, 1 Dy 3.47, 1 Tb 3.57
17 Y 0.7062 0.4965 0.1186  3 Sm 3.27-3.45, 4 Y 3.27-3.55, 2 Dy 3.42-3.56
18 Y 0.7476 0.1228 0.5566  7 Y 3.42-3.78, 1 Sm 3.50, 1 Tb 3.64, 1 Dy 3.80
19 Y 0.8772 0.2524 0.9434  7 Y 3.42-3.78, 1 Sm 3.50, 1 Tb 3.64, 1 Dy 3.80
20 Y 0.9809 0.4260 0.3147  2 Y 3.27-3.58, 1 Sm 3.40, 1 Dy 3.47, 1 Tb 3.57

Calculated values
As for the symmetry: C2/c, No. 15. For the density of states at the Fermi level, the calculation gives 14.827 states/eV/f.u. Its uncorrected energy is -56.31 eV/f.u. As for the formation enthalpy at 0 K: 1.1 eV per formula unit.

Record 6
Computed, not measured: a relaxed RbAl3Cd crystal at the PBE level of DFT.

Unit cell a=6.1290 b=6.1290 c=6.1290 alpha=90.00 beta=90.00 gamma=90.00
Last column: nearest neighbours and their distance in Å.
Atoms (fractional coordinates):
1 Rb 0.0000 0.0000 0.0000  6 Al 3.06
2 Al 0.0000 0.0000 0.5000  2 Rb 3.06
3 Al 0.0000 0.5000 0.0000  2 Rb 3.06
4 Al 0.5000 0.0000 0.0000  2 Rb 3.06
5 Cd 0.5000 0.5000 0.5000  12 Al 4.33

Calculated values
The value obtained for the energy above the most stable polymorph in this dataset is 0.998 eV per atom. As for the symmetry: Pm-3m, No. 221. For the density of states at the Fermi level, the calculation gives 8.672 states/eV/f.u. Its uncorrected energy is -5.13 eV/f.u. As for the formation enthalpy at 0 K: 8.0 eV per formula unit.

Record 7
Computed, not measured: a relaxed YTaIN2 crystal at the PBE level of DFT.

Unit cell a=4.1644 b=4.1644 c=5.4947 alpha=90.00 beta=90.00 gamma=90.00
Last column: nearest neighbours and their distance in Å.
Atoms (fractional coordinates):
1 Y 0.0000 0.0000 0.0000  4 I 2.94
2 Ta 0.5000 0.5000 0.5000  4 N 2.08
3 I 0.5000 0.5000 0.0000  2 Ta 2.75, 4 Y 2.94
4 N 0.0000 0.5000 0.5000  2 Ta 2.08
5 N 0.5000 0.0000 0.5000  2 Ta 2.08

Calculated values
The value obtained for the energy above the most stable polymorph in this dataset is 0.000 eV per atom. As for the symmetry: P4/mmm, No. 123. For the density of states at the Fermi level, the calculation gives 2.545 states/eV/f.u. Its uncorrected energy is -36.41 eV/f.u. The calculation puts the formation energy (no corrections) at 0.022 eV per atom.

Record 8
Computed, not measured: a relaxed Cs2Rb3Hg3 crystal at the PBE level of DFT.

Unit cell a=9.1100 b=9.1100 c=18.7506 alpha=90.00 beta=90.00 gamma=144.19
Last column: nearest neighbours and their distance in Å.
Atoms (fractional coordinates):
1 Cs 0.2287 0.7713 0.5970  4 Hg 3.90-4.16
2 Cs 0.2287 0.7713 0.9030  4 Hg 3.90-4.16
3 Cs 0.7713 0.2287 0.0970  4 Hg 3.90-4.16
4 Cs 0.7713 0.2287 0.4030  4 Hg 3.90-4.16
5 Rb 0.0546 0.9454 0.1150  6 Hg 3.93-4.00
6 Rb 0.0546 0.9454 0.3850  6 Hg 3.93-4.00
7 Rb 0.3990 0.6010 0.2500  3 Hg 3.82-4.04
8 Rb 0.6010 0.3990 0.7500  3 Hg 3.82-4.04
9 Rb 0.9454 0.0546 0.6150  6 Hg 3.93-4.00
10 Rb 0.9454 0.0546 0.8850  6 Hg 3.93-4.00
11 Hg 0.3808 0.6192 0.7500  5 Rb 3.82-3.94, 2 Cs 3.90
12 Hg 0.4209 0.5791 0.0354  1 Hg 3.05
13 Hg 0.4209 0.5791 0.4646  1 Hg 3.05
14 Hg 0.5791 0.4209 0.5354  1 Hg 3.05
15 Hg 0.5791 0.4209 0.9646  1 Hg 3.05
16 Hg 0.6192 0.3808 0.2500  5 Rb 3.82-3.94, 2 Cs 3.90

Calculated values
As for the symmetry: Cmcm, No. 63. For the density of states at the Fermi level, the calculation gives 5.725 states/eV/f.u. Its uncorrected energy is -6.84 eV/f.u. As for the formation enthalpy at 0 K: -1.3 eV per formula unit.

Record 9
Computed, not measured: a relaxed Na4Ce2Br9 crystal at the PBE level of DFT.

Unit cell a=7.5579 b=7.5605 c=20.4232 alpha=89.94 beta=89.97 gamma=60.06
Last column: nearest neighbours and their distance in Å.
Atoms (fractional coordinates):
1 Na 0.1652 0.1672 0.1751  6 Br 2.99-3.02
2 Na 0.1662 0.1661 0.9862  6 Br 2.99-3.11
3 Na 0.1671 0.1665 0.4853  6 Br 2.99-3.11
4 Na 0.1680 0.1658 0.6761  6 Br 3.00-3.02
5 Na 0.8320 0.8342 0.3239  6 Br 3.00-3.02
6 Na 0.8329 0.8335 0.5147  6 Br 2.99-3.11
7 Na 0.8338 0.8339 0.0138  6 Br 2.99-3.11
8 Na 0.8348 0.8328 0.8249  6 Br 2.99-3.02
9 Ce 0.4990 0.5017 0.1562  6 Br 2.96-3.04
10 Ce 0.4998 0.4990 0.3440  6 Br 2.96-3.04
11 Ce 0.5002 0.5010 0.6560  6 Br 2.96-3.04
12 Ce 0.5010 0.4983 0.8438  6 Br 2.96-3.04
13 Br 0.1465 0.5245 0.4154  1 Ce 2.96, 3 Na 2.99-3.11
14 Br 0.1484 0.8278 0.9149  1 Ce 2.97, 3 Na 2.99-3.10
15 Br 0.1701 0.4781 0.0848  1 Ce 2.96, 3 Na 2.99-3.11
16 Br 0.1711 0.8541 0.5850  1 Ce 2.96, 3 Na 3.00-3.10
17 Br 0.1883 0.4999 0.7499  2 Na 3.01-3.02, 2 Ce 3.04
18 Br 0.1881 0.8124 0.2502  2 Na 3.01-3.02, 2 Ce 3.04
19 Br 0.4753 0.8537 0.0842  1 Ce 2.97, 3 Na 3.00-3.09
20 Br 0.4755 0.1729 0.5846  1 Ce 2.96, 3 Na 3.00-3.11
21 Br 0.4980 0.1890 0.2498  2 Na 3.02, 2 Ce 3.04
22 Br 0.5020 0.8110 0.7502  2 Na 3.02, 2 Ce 3.04
23 Br 0.5245 0.8271 0.4154  1 Ce 2.96, 3 Na 3.00-3.11
24 Br 0.5247 0.1463 0.9158  1 Ce 2.97, 3 Na 3.00-3.09
25 Br 0.8119 0.1876 0.7498  2 Na 3.01-3.02, 2 Ce 3.04
26 Br 0.8117 0.5001 0.2501  2 Na 3.01-3.02, 2 Ce 3.04
27 Br 0.8289 0.1459 0.4150  1 Ce 2.96, 3 Na 3.00-3.10
28 Br 0.8299 0.5219 0.9152  1 Ce 2.96, 3 Na 2.99-3.11
29 Br 0.8516 0.1722 0.0851  1 Ce 2.97, 3 Na 2.99-3.10
30 Br 0.8535 0.4755 0.5846  1 Ce 2.96, 3 Na 2.99-3.11

Calculated values
As for the symmetry: P-1, No. 2. For the density of states at the Fermi level, the calculation gives 14.974 states/eV/f.u. Its uncorrected energy is -57.16 eV/f.u. The calculation puts the formation energy (no corrections) at -1.664 eV per atom.

Record 10
Computed, not measured: a relaxed Sm3Dy2Ho3 crystal at the PBE level of DFT.

Unit cell a=8.5778 b=8.5778 c=6.0082 alpha=109.62 beta=109.62 gamma=38.97
Last column: nearest neighbours and their distance in Å.
Atoms (fractional coordinates):
1 Sm 0.0000 0.0000 0.0000  2 Sm 3.29, 4 Ho 3.50
2 Sm 0.1337 0.1337 0.6951  1 Sm 3.29, 4 Dy 3.42-3.54, 5 Ho 3.53-3.68
3 Sm 0.8663 0.8663 0.3049  1 Sm 3.29, 4 Dy 3.42-3.54, 5 Ho 3.53-3.68
4 Dy 0.2498 0.2498 0.3181  5 Sm 3.42-3.80, 5 Ho 3.44-3.80, 2 Dy 3.60
5 Dy 0.7502 0.7502 0.6819  5 Sm 3.42-3.80, 5 Ho 3.44-3.80, 2 Dy 3.60
6 Ho 0.3681 0.3681 0.9215  1 Ho 3.37, 4 Dy 3.44-3.55, 5 Sm 3.50-3.68
7 Ho 0.5000 0.5000 0.5000  2 Ho 3.37, 4 Sm 3.53
8 Ho 0.6319 0.6319 0.0785  1 Ho 3.37, 4 Dy 3.44-3.55, 5 Sm 3.50-3.68

Calculated values
The value obtained for the energy above the most stable polymorph in this dataset is 0.072 eV per atom. As for the symmetry: C2/m, No. 12. For the density of states at the Fermi level, the calculation gives 14.232 states/eV/f.u. Its uncorrected energy is -36.37 eV/f.u. As for the formation enthalpy at 0 K: 0.7 eV per formula unit.

Record 11
Computed, not measured: a relaxed BaIr2Rh crystal at the PBE level of DFT.

Unit cell a=5.8068 b=5.8068 c=5.8995 alpha=113.12 beta=113.12 gamma=29.09
Last column: nearest neighbours and their distance in Å.
Atoms (fractional coordinates):
1 Ba 0.0000 0.0000 0.0000  2 Ba 2.92
2 Ir 0.2098 0.2098 0.6303  2 Ir 2.54, 2 Rh 2.61
3 Ir 0.7902 0.7902 0.3697  2 Ir 2.54, 2 Rh 2.61
4 Rh 0.5000 0.5000 0.5000  4 Ir 2.61, 2 Rh 2.92

Calculated values
The value obtained for the energy above the most stable polymorph in this dataset is 0.463 eV per atom. As for the symmetry: C2/m, No. 12. For the density of states at the Fermi level, the calculation gives 4.209 states/eV/f.u. Its uncorrected energy is -25.27 eV/f.u. As for the formation enthalpy at 0 K: 1.7 eV per formula unit.

Record 12
Computed, not measured: a relaxed Tl2CdIn2Hg crystal at the PBE level of DFT.

Unit cell a=4.9547 b=10.4382 c=6.5284 alpha=90.00 beta=90.00 gamma=90.00
Last column: nearest neighbours and their distance in Å.
Atoms (fractional coordinates):
1 Tl 0.0000 0.0612 0.0000  3 In 3.27-3.53, 6 Tl 3.35-3.57, 1 Hg 3.45
2 Tl 0.0000 0.9388 0.5000  3 In 3.27-3.53, 6 Tl 3.35-3.57, 1 Hg 3.45
3 Tl 0.5000 0.1398 0.3729  4 Tl 3.35-3.57, 2 In 3.36-3.60, 2 Hg 3.38, 1 Cd 3.44
4 Tl 0.5000 0.8602 0.8729  4 Tl 3.35-3.57, 2 In 3.36-3.60, 2 Hg 3.38, 1 Cd 3.44
5 Cd 0.5000 0.4602 0.4984  6 In 3.05-3.36, 2 Hg 3.14, 2 Cd 3.37
6 Cd 0.5000 0.5398 0.9984  6 In 3.05-3.36, 2 Hg 3.14, 2 Cd 3.37
7 In 0.0000 0.3816 0.1742  2 Hg 3.08-3.41, 4 Cd 3.19-3.36, 2 In 3.36
8 In 0.0000 0.6184 0.6742  2 Hg 3.08-3.41, 4 Cd 3.19-3.36, 2 In 3.36
9 In 0.5000 0.2547 0.8928  2 Cd 3.05-3.35, 2 Hg 3.06, 3 Tl 3.27-3.36, 2 In 3.36
10 In 0.5000 0.7453 0.3928  2 Cd 3.05-3.35, 2 Hg 3.06, 3 Tl 3.27-3.36, 2 In 3.36
11 Hg 0.0000 0.2937 0.6243  4 In 3.06-3.41, 2 Cd 3.14, 2 Tl 3.38
12 Hg 0.0000 0.7063 0.1243  4 In 3.06-3.41, 2 Cd 3.14, 2 Tl 3.38

Calculated values
As for the symmetry: Pmc2_1, No. 26. For the density of states at the Fermi level, the calculation gives 2.572 states/eV/f.u. Its uncorrected energy is -11.26 eV/f.u. As for the formation enthalpy at 0 K: 0.2 eV per formula unit.